Entry 1:
KZn3 | PBE-GGA | relaxed

Properties
- Symmetry: Cmmm (65)
- Size of the total moment: 0.00 μB/cell
- ΔE_f: 348 meV per atom

a = 6.1045 Å, b = 6.1045 Å, c = 2.7766 Å
α = 90.00°, β = 90.00°, γ = 116.31°
Closest atoms and distances in Å follow each position.
Fractional coordinates of all 4 atoms:
K1 0.0000 0.0000 0.0000  2 K 2.78
Zn1 0.0000 0.5000 0.5000  2 Zn 2.78
Zn2 0.5000 0.0000 0.5000  2 Zn 2.78
Zn3 0.5000 0.5000 0.0000  2 Zn 2.78



Entry 2:
ZrMo2Ru | PBE-GGA | relaxed

Properties
- Symmetry: Fm-3m (225)
- Size of the total moment: 0.00 μB/cell
- ΔE_f: 88 meV per atom

a = 4.5365 Å, b = 4.5365 Å, c = 4.5365 Å
α = 60.00°, β = 60.00°, γ = 60.00°
Closest atoms and distances in Å follow each position.
Fractional coordinates of all 4 atoms:
Zr1 0.0000 0.0000 0.0000  8 Mo 2.78
Mo1 0.2500 0.2500 0.2500  4 Zr 2.78, 4 Ru 2.78
Mo2 0.7500 0.7500 0.7500  4 Zr 2.78, 4 Ru 2.78
Ru1 0.5000 0.5000 0.5000  8 Mo 2.78



Entry 3:
Ti4Nb3W2 | PBE-GGA | relaxed

Properties
- Symmetry: P-1 (2)
- Size of the total moment: 0.00 μB/cell
- ΔE_f: 2 meV per atom

a = 5.6181 Å, b = 7.0835 Å, c = 7.9328 Å
α = 100.94°, β = 90.49°, γ = 97.14°
Closest atoms and distances in Å follow each position.
Fractional coordinates of all 18 atoms:
Ti1 0.0323 0.1716 0.2898  3 W 2.80-2.87, 4 Nb 2.81-3.12, 3 Ti 2.89-3.06
Ti2 0.1943 0.1695 0.9415  1 W 2.74, 3 Nb 2.78-2.84, 4 Ti 2.85-2.91
Ti3 0.3536 0.1547 0.5993  3 W 2.77-2.86, 3 Nb 2.80-2.87, 3 Ti 2.85-3.06
Ti4 0.4185 0.5069 0.1693  3 Nb 2.77-2.85, 2 W 2.79-2.82, 3 Ti 2.83-2.88
Ti5 0.5815 0.4931 0.8307  3 Nb 2.77-2.85, 2 W 2.79-2.82, 3 Ti 2.83-2.88
Ti6 0.6464 0.8453 0.4007  3 W 2.77-2.86, 3 Nb 2.80-2.87, 3 Ti 2.85-3.06
Ti7 0.8057 0.8305 0.0585  1 W 2.74, 3 Nb 2.78-2.84, 4 Ti 2.85-2.91
Ti8 0.9677 0.8284 0.7102  3 W 2.80-2.87, 4 Nb 2.81-3.12, 3 Ti 2.89-3.06
Nb1 0.2515 0.5103 0.5086  3 Nb 2.76-2.82, 2 W 2.77-2.81, 3 Ti 2.82-2.87
Nb2 0.3016 0.8320 0.0570  2 W 2.73-2.81, 2 Nb 2.76-2.78, 4 Ti 2.77-2.84
Nb3 0.4689 0.8361 0.7308  3 Nb 2.76-2.78, 5 Ti 2.80-2.83
Nb4 0.5311 0.1639 0.2692  3 Nb 2.76-2.78, 5 Ti 2.80-2.83
Nb5 0.6984 0.1680 0.9430  2 W 2.73-2.81, 2 Nb 2.76-2.78, 4 Ti 2.77-2.84
Nb6 0.7485 0.4897 0.4914  3 Nb 2.76-2.82, 2 W 2.77-2.81, 3 Ti 2.82-2.87
W1 0.0794 0.4961 0.8380  2 W 2.71-2.72, 4 Ti 2.74-2.87, 2 Nb 2.81
W2 0.1344 0.8244 0.3780  1 W 2.71, 2 Nb 2.73-2.77, 5 Ti 2.77-2.86
W3 0.8656 0.1756 0.6220  1 W 2.71, 2 Nb 2.73-2.77, 5 Ti 2.77-2.86
W4 0.9206 0.5039 0.1620  2 W 2.71-2.72, 4 Ti 2.74-2.87, 2 Nb 2.81



Entry 4:
CoP2Rh | PBE-GGA | relaxed

Properties
- Symmetry: P4mm (99)
- Size of the total moment: 0.26 μB/cell
- ΔE_f: -144 meV per atom

a = 2.8173 Å, b = 2.8173 Å, c = 7.3521 Å
α = 90.00°, β = 90.00°, γ = 90.00°
Closest atoms and distances in Å follow each position.
Fractional coordinates of all 4 atoms:
Co1 0.0000 0.0000 0.0000  4 P 2.28
P1 0.0000 0.0000 0.5509  4 Rh 2.40
P2 0.5000 0.5000 0.1515  4 Co 2.28
Rh1 0.5000 0.5000 0.7325  4 P 2.40



Entry 5:
Rb2PrCd3F12 | PBE-GGA | relaxed

Properties
- Raw formation energy: -2.556 eV per atom
- Symmetry: R-3m (166)
- Size of the total moment: 0.99 μB/cell

a = 7.5614 Å, b = 7.5614 Å, c = 7.5614 Å
α = 64.95°, β = 64.95°, γ = 64.95°
Closest atoms and distances in Å follow each position.
Fractional coordinates of all 18 atoms:
Rb1 0.1193 0.1193 0.1193  3 F 2.81
Rb2 0.8807 0.8807 0.8807  3 F 2.81
Pr1 0.5000 0.5000 0.5000  6 F 2.47
Cd1 0.0000 0.5000 0.5000  6 F 2.19-2.23
Cd2 0.5000 0.0000 0.5000  6 F 2.19-2.23
Cd3 0.5000 0.5000 0.0000  6 F 2.19-2.23
F1 0.1237 0.6264 0.6264  1 Cd 2.23, 1 Pr 2.47
F2 0.2393 0.2393 0.6170  2 Cd 2.19
F3 0.2393 0.6170 0.2393  2 Cd 2.19
F4 0.3736 0.3736 0.8763  1 Cd 2.23, 1 Pr 2.47
F5 0.3736 0.8763 0.3736  1 Cd 2.23, 1 Pr 2.47
F6 0.3830 0.7607 0.7607  2 Cd 2.19
F7 0.6170 0.2393 0.2393  2 Cd 2.19
F8 0.6264 0.1237 0.6264  1 Cd 2.23, 1 Pr 2.47
F9 0.6264 0.6264 0.1237  1 Cd 2.23, 1 Pr 2.47
F10 0.7607 0.3830 0.7607  2 Cd 2.19
F11 0.7607 0.7607 0.3830  2 Cd 2.19
F12 0.8763 0.3736 0.3736  1 Cd 2.23, 1 Pr 2.47



Entry 6:
TiPS2I | PBE-GGA | relaxed

Properties
- Raw formation energy: -0.063 eV per atom
- Symmetry: P4/mmm (123)
- Size of the total moment: 0.00 μB/cell

a = 4.5693 Å, b = 4.5693 Å, c = 5.4330 Å
α = 90.00°, β = 90.00°, γ = 90.00°
Closest atoms and distances in Å follow each position.
Fractional coordinates of all 5 atoms:
Ti1 0.0000 0.0000 0.0000  4 S 2.28
P1 0.0000 0.0000 0.5000  2 Ti 2.72
S1 0.0000 0.5000 0.0000  2 Ti 2.28
S2 0.5000 0.0000 0.0000  2 Ti 2.28
I1 0.5000 0.5000 0.5000  4 P 3.23, 8 S 3.55



Entry 7:
SrRe2Cl | PBE-GGA | relaxed

Properties
- Raw formation energy: 1.350 eV per atom
- Symmetry: Cmmm (65)
- Size of the total moment: 0.00 μB/cell

a = 2.9148 Å, b = 2.9148 Å, c = 9.9443 Å
α = 90.00°, β = 90.00°, γ = 119.67°
Closest atoms and distances in Å follow each position.
Fractional coordinates of all 4 atoms:
Sr1 0.0000 0.0000 0.0000  6 Sr 2.91-2.93, 4 Re 3.12
Re1 0.5000 0.5000 0.2776  2 Cl 2.65, 6 Re 2.91-2.93
Re2 0.5000 0.5000 0.7224  2 Cl 2.65, 6 Re 2.91-2.93
Cl1 0.0000 0.0000 0.5000  4 Re 2.65, 6 Cl 2.91-2.93



Entry 8:
Ac3Mg9Zn2 | PBE-GGA | relaxed

Properties
- Symmetry: Immm (71)
- Size of the total moment: 0.00 μB/cell
- ΔE_f: -69 meV per atom

a = 9.0800 Å, b = 9.0800 Å, c = 9.0800 Å
α = 147.43°, β = 103.28°, γ = 85.85°
Closest atoms and distances in Å follow each position.
Fractional coordinates of all 14 atoms:
Ac1 0.0000 0.0000 0.0000  12 Mg 3.56-3.60, 2 Ac 3.93
Ac2 0.2959 0.2959 0.0000  2 Zn 3.33, 10 Mg 3.62-3.72
Ac3 0.7041 0.7041 0.0000  2 Zn 3.33, 10 Mg 3.62-3.72
Mg1 0.0026 0.6441 0.3585  1 Zn 2.85, 3 Mg 3.00-3.14
Mg2 0.1520 0.8710 0.2810  4 Mg 3.00-3.14, 2 Zn 3.12
Mg3 0.2856 0.6441 0.6415  1 Zn 2.85, 3 Mg 3.00-3.14
Mg4 0.4100 0.1290 0.2810  4 Mg 3.00-3.14, 2 Zn 3.12
Mg5 0.5000 0.0000 0.5000  4 Mg 3.01, 4 Zn 3.20
Mg6 0.5900 0.8710 0.7190  4 Mg 3.00-3.14, 2 Zn 3.12
Mg7 0.7144 0.3559 0.3585  1 Zn 2.85, 3 Mg 3.00-3.14
Mg8 0.8480 0.1290 0.7190  4 Mg 3.00-3.14, 2 Zn 3.12
Mg9 0.9974 0.3559 0.6415  1 Zn 2.85, 3 Mg 3.00-3.14
Zn1 0.3283 0.5000 0.8283  6 Mg 2.85-3.12
Zn2 0.6717 0.5000 0.1717  6 Mg 2.85-3.12



Entry 9:
Ag4OsSe | PBE-GGA | relaxed

Properties
- Raw formation energy: 0.879 eV per atom
- Symmetry: F-43m (216)
- Size of the total moment: 2.01 μB/cell

a = 5.4180 Å, b = 5.4180 Å, c = 5.4180 Å
α = 60.00°, β = 60.00°, γ = 60.00°
Closest atoms and distances in Å follow each position.
Fractional coordinates of all 6 atoms:
Ag1 0.1253 0.1253 0.1253  6 Ag 2.70-2.71
Ag2 0.1253 0.1253 0.6242  6 Ag 2.70-2.71
Ag3 0.1253 0.6242 0.1253  6 Ag 2.70-2.71
Ag4 0.6242 0.1253 0.1253  6 Ag 2.70-2.71
Os1 0.5000 0.5000 0.5000  12 Ag 3.18, 4 Se 3.32
Se1 0.7500 0.7500 0.7500  12 Ag 3.18, 4 Os 3.32



Entry 10:
Mg4Si3 | PBE-GGA | relaxed

Properties
- Raw formation energy: 0.059 eV per atom
- Symmetry: P1 (1)
- Size of the total moment: 0.00 μB/cell

a = 5.9169 Å, b = 6.0568 Å, c = 8.3713 Å
α = 72.79°, β = 80.32°, γ = 76.74°
Closest atoms and distances in Å follow each position.
Fractional coordinates of all 14 atoms:
Mg1 0.0000 0.0000 0.0000  4 Si 2.74-3.06, 1 Mg 2.97
Mg2 0.0193 0.5113 0.9856  3 Si 2.79-2.87, 2 Mg 2.97-3.09
Mg3 0.0641 0.5730 0.3409  4 Si 2.85-3.11, 3 Mg 3.11-3.17
Mg4 0.2467 0.8448 0.5957  5 Si 2.72-3.04, 1 Mg 2.96
Mg5 0.4807 0.1502 0.8969  3 Si 2.66-2.79
Mg6 0.5317 0.3103 0.1941  4 Si 2.66-2.81
Mg7 0.5565 0.7923 0.2313  3 Si 2.78-2.95, 3 Mg 3.02-3.06
Mg8 0.7329 0.6409 0.6761  5 Si 2.65-2.89, 1 Mg 2.96
Si1 0.1353 0.1207 0.2548  1 Si 2.40
Si2 0.1541 0.3631 0.6825  2 Si 2.43-2.45, 2 Mg 2.67-2.70
Si3 0.4266 0.6904 0.9387  6 Mg 2.65-2.95
Si4 0.5242 0.4016 0.5048  3 Si 2.45-2.60
Si5 0.7897 0.0294 0.4349  3 Si 2.40-2.60, 2 Mg 2.65-2.66
Si6 0.8568 0.1514 0.6725  3 Si 2.43-2.54, 1 Mg 2.66



Entry 11:
ZrCdCuIr | PBE-GGA | relaxed

Properties
- Symmetry: F-43m (216)
- Size of the total moment: 0.00 μB/cell
- ΔE_f: -265 meV per atom

a = 4.6060 Å, b = 4.6060 Å, c = 4.6060 Å
α = 60.00°, β = 60.00°, γ = 60.00°
Closest atoms and distances in Å follow each position.
Fractional coordinates of all 4 atoms:
Zr1 0.0000 0.0000 0.0000  4 Cu 2.82, 4 Ir 2.82
Cd1 0.5000 0.5000 0.5000  4 Ir 2.82, 4 Cu 2.82
Cu1 0.2500 0.2500 0.2500  4 Zr 2.82, 4 Cd 2.82
Ir1 0.7500 0.7500 0.7500  4 Cd 2.82, 4 Zr 2.82



Entry 12:
LuHfPb | PBE-GGA | relaxed

Properties
- Symmetry: P3m1 (156)
- Size of the total moment: 1.00 μB/cell
- ΔE_f: 98 meV per atom

a = 5.1943 Å, b = 5.1943 Å, c = 3.3360 Å
α = 90.00°, β = 90.00°, γ = 120.00°
Closest atoms and distances in Å follow each position.
Fractional coordinates of all 3 atoms:
Lu1 0.0000 0.0000 0.0000  2 Lu 3.34, 6 Pb 3.41-3.45, 6 Hf 3.43-3.44
Hf1 0.3333 0.6667 0.4977  3 Pb 3.00, 2 Hf 3.34
Pb1 0.6667 0.3333 0.5111  3 Hf 3.00, 2 Pb 3.34